No. 1
LiGa7Tc2: optimized geometry, PBE.

Structure (POSCAR):
```
LiGa7Tc2
1.0
-2.7938 2.5528 3.0924
-5.0645 -4.8243 -0.5930
4.8296 -0.8075 5.0298
Li Ga Tc
1 7 2
Direct
0.0000 0.0000 0.0000 Li
0.0000 0.7035 0.2965 Ga
0.0000 0.2965 0.7035 Ga
0.5000 0.0789 0.2983 Ga
0.5000 0.9211 0.7017 Ga
0.5000 0.2983 0.0789 Ga
0.5000 0.7017 0.9211 Ga
0.5000 0.5000 0.5000 Ga
0.5000 0.7135 0.2865 Tc
0.5000 0.2865 0.7135 Tc
```

The total energy comes out at -4.365 eV/atom. The formation energy comes out at 0.0179 eV per atom. Its space-group type is Cmmm (65). As for the mass density: 5.4 g cm⁻³. Its volume is 212 Å³/f.u.

=====

No. 2
KSbSe2Br: optimized geometry, PBE.

Structure (POSCAR):
```
KSbSe2Br
1.0
5.3602 0.0000 0.0000
0.0000 5.3602 0.0000
0.0000 0.0000 5.8188
Sb K Se Br
1 1 2 1
Direct
0.0000 0.0000 0.0000 Sb
0.5000 0.5000 0.5000 K
0.0000 0.5000 0.0000 Se
0.5000 0.0000 0.0000 Se
0.0000 0.0000 0.5000 Br
```

The total energy comes out at -3.307 eV/atom. The formation energy from raw total energies is -0.535 eV/atom. Its space-group type is P4/mmm (123). As for the mass density: 4.0 g cm⁻³. Its volume is 167 Å³/f.u.

=====

No. 3
Dy15Ho4Zr: optimized geometry, PBE.

Structure (POSCAR):
```
Dy15Ho4Zr
1.0
-0.4331 -4.6614 -1.7097
2.3952 -1.6995 4.0267
-21.6503 -2.3484 11.8874
Dy Ho Zr
15 4 1
Direct
0.5000 0.5000 0.0000 Dy
0.5000 0.5000 0.1971 Dy
0.5000 0.5000 0.3990 Dy
0.5000 0.5000 0.6010 Dy
0.5000 0.5000 0.8029 Dy
0.5000 0.0000 0.0942 Dy
0.5000 0.0000 0.2975 Dy
0.5000 0.0000 0.5000 Dy
0.5000 0.0000 0.7025 Dy
0.5000 0.0000 0.9058 Dy
0.0000 0.5000 0.0942 Dy
0.0000 0.5000 0.2975 Dy
0.0000 0.5000 0.5000 Dy
0.0000 0.5000 0.7025 Dy
0.0000 0.5000 0.9058 Dy
0.0000 0.0000 0.1976 Ho
0.0000 0.0000 0.3989 Ho
0.0000 0.0000 0.6011 Ho
0.0000 0.0000 0.8024 Ho
0.0000 0.0000 0.0000 Zr
```

The total energy comes out at -4.762 eV/atom. The formation energy comes out at 0.0322 eV per atom. Its space-group type is P4/mmm (123). As for the mass density: 8.6 g cm⁻³. Its volume is 616 Å³/f.u.

=====

> What is the formula in the first record?

LiGa7Tc2

=====

> Which value of mass density does entry 1 give?

5.4 g cm⁻³

=====

> Look up the volume of the second one.

167 Å³/f.u.

=====

What did the second record say?
KSbSe2Br: optimized geometry, PBE.

Structure (POSCAR):
```
KSbSe2Br
1.0
5.3602 0.0000 0.0000
0.0000 5.3602 0.0000
0.0000 0.0000 5.8188
Sb K Se Br
1 1 2 1
Direct
0.0000 0.0000 0.0000 Sb
0.5000 0.5000 0.5000 K
0.0000 0.5000 0.0000 Se
0.5000 0.0000 0.0000 Se
0.0000 0.0000 0.5000 Br
```

The total energy comes out at -3.307 eV/atom. The formation energy from raw total energies is -0.535 eV/atom. Its space-group type is P4/mmm (123). As for the mass density: 4.0 g cm⁻³. Its volume is 167 Å³/f.u.